(1)
ZrTlCr: PBEsol geometry, meta-GGA SCAN. Values from VASP.

- Energy above the most stable polymorph in this dataset: 0.3692 eV per atom
- D(E_F): 0.725 states/eV per atom
- Calculated formation energy: 0.565 eV/atom
- E: -39.9154 eV per atom

Structure (Quantum ESPRESSO input):
```
&SYSTEM
  ibrav = 0, nat = 3, ntyp = 3
/
ATOMIC_SPECIES
Cr 52.00 Cr.upf
Tl 204.38 Tl.upf
Zr 91.22 Zr.upf
ATOMIC_POSITIONS crystal
Cr 0.000 0.000 0.000
Tl 0.500 0.500 0.500
Zr 0.250 0.250 0.250
CELL_PARAMETERS angstrom
-1.743 4.287 0.627
-3.930 1.266 -2.182
-3.940 0.585 2.438
```

***

(2)
Zr2TlCr: PBEsol geometry, meta-GGA SCAN. Values from VASP.

- Energy above the most stable polymorph in this dataset: 0.1859 eV per atom
- D(E_F): 0.779 states/eV per atom
- Calculated formation energy: 0.149 eV/atom
- E: -37.8860 eV per atom

Structure (Quantum ESPRESSO input):
```
&SYSTEM
  ibrav = 0, nat = 4, ntyp = 3
/
ATOMIC_SPECIES
Tl 204.38 Tl.upf
Cr 52.00 Cr.upf
Zr 91.22 Zr.upf
ATOMIC_POSITIONS crystal
Tl 0.000 0.500 0.000
Cr 0.500 0.000 0.000
Zr 0.214 0.214 0.427
Zr 0.786 0.786 0.573
CELL_PARAMETERS angstrom
3.592 0.000 0.000
0.000 4.868 0.000
-1.796 -2.434 4.343
```

***

(3)
Zr2TlCr: PBEsol geometry, meta-GGA SCAN. Values from VASP.

- Energy above the most stable polymorph in this dataset: 0.0000 eV per atom
- D(E_F): 0.713 states/eV per atom
- Calculated formation energy: -0.037 eV/atom
- E: -38.0718 eV per atom

Structure (Quantum ESPRESSO input):
```
&SYSTEM
  ibrav = 0, nat = 4, ntyp = 3
/
ATOMIC_SPECIES
Tl 204.38 Tl.upf
Cr 52.00 Cr.upf
Zr 91.22 Zr.upf
ATOMIC_POSITIONS crystal
Tl 0.250 0.750 0.500
Cr 0.500 0.500 0.000
Zr 0.000 0.000 0.000
Zr 0.750 0.250 0.500
CELL_PARAMETERS angstrom
4.150 0.000 0.000
0.000 4.150 0.000
-2.075 -2.075 4.557
```

***

(4)
ZrTl2Cr: PBEsol geometry, meta-GGA SCAN. Values from VASP.

- Energy above the most stable polymorph in this dataset: 0.0323 eV per atom
- D(E_F): 0.704 states/eV per atom
- Calculated formation energy: 0.185 eV/atom
- E: -48.2655 eV per atom

Structure (Quantum ESPRESSO input):
```
&SYSTEM
  ibrav = 0, nat = 4, ntyp = 3
/
ATOMIC_SPECIES
Zr 91.22 Zr.upf
Cr 52.00 Cr.upf
Tl 204.38 Tl.upf
ATOMIC_POSITIONS crystal
Zr 0.000 0.000 0.527
Cr 0.500 0.500 0.724
Tl 0.500 0.500 0.264
Tl 0.000 0.000 0.984
CELL_PARAMETERS angstrom
3.337 0.000 0.000
0.000 3.918 0.000
0.000 0.000 6.430
```

***

(5)
VCr: PBEsol geometry, meta-GGA SCAN. Values from VASP.

- D(E_F): 0.837 states/eV per atom
- Calculated formation energy: -0.086 eV/atom
- E: -18.0228 eV per atom

Structure (Quantum ESPRESSO input):
```
&SYSTEM
  ibrav = 0, nat = 4, ntyp = 2
/
ATOMIC_SPECIES
V 50.94 V.upf
Cr 52.00 Cr.upf
ATOMIC_POSITIONS crystal
V 0.879 0.129 0.759
V 0.121 0.871 0.241
Cr 0.370 0.620 0.740
Cr 0.630 0.380 0.260
CELL_PARAMETERS angstrom
2.875 0.000 0.000
0.000 4.016 0.000
-1.438 -2.008 4.128
```

***

(6)
VCr: PBEsol geometry, meta-GGA SCAN. Values from VASP.

- D(E_F): 0.997 states/eV per atom
- Calculated formation energy: -0.047 eV/atom
- E: -17.9837 eV per atom

Structure (Quantum ESPRESSO input):
```
&SYSTEM
  ibrav = 0, nat = 2, ntyp = 2
/
ATOMIC_SPECIES
V 50.94 V.upf
Cr 52.00 Cr.upf
ATOMIC_POSITIONS crystal
V 0.500 0.500 0.500
Cr 0.000 0.000 0.000
CELL_PARAMETERS angstrom
-1.189 -2.184 -0.395
2.032 -0.360 1.442
-2.216 0.613 3.275
```

***

(7)
VCr3: PBEsol geometry, meta-GGA SCAN. Values from VASP.

- D(E_F): 0.486 states/eV per atom
- Calculated formation energy: -0.066 eV/atom
- E: -18.2264 eV per atom

Structure (Quantum ESPRESSO input):
```
&SYSTEM
  ibrav = 0, nat = 4, ntyp = 2
/
ATOMIC_SPECIES
Cr 52.00 Cr.upf
V 50.94 V.upf
ATOMIC_POSITIONS crystal
Cr 0.250 0.250 0.250
Cr 0.750 0.750 0.750
Cr 0.500 0.500 0.500
V 0.000 0.000 0.000
CELL_PARAMETERS angstrom
-3.175 0.563 2.401
-1.732 -3.143 1.812
0.373 -0.486 3.973
```

***

(8)
Cr4W: PBEsol geometry, meta-GGA SCAN. Values from VASP.

- D(E_F): 0.567 states/eV per atom
- Calculated formation energy: 0.054 eV/atom
- E: -28.5916 eV per atom

Structure (Quantum ESPRESSO input):
```
&SYSTEM
  ibrav = 0, nat = 5, ntyp = 2
/
ATOMIC_SPECIES
W 183.84 W.upf
Cr 52.00 Cr.upf
ATOMIC_POSITIONS crystal
W 0.000 0.000 0.000
Cr 0.400 0.793 0.407
Cr 0.807 0.593 0.793
Cr 0.600 0.207 0.593
Cr 0.193 0.407 0.207
CELL_PARAMETERS angstrom
-0.194 2.444 -1.548
-1.905 -1.126 -4.256
-4.286 1.954 0.907
```

***

(9)
Cr3W5: PBEsol geometry, meta-GGA SCAN. Values from VASP.

- D(E_F): 0.534 states/eV per atom
- Calculated formation energy: 0.084 eV/atom
- E: -50.3652 eV per atom

Structure (Quantum ESPRESSO input):
```
&SYSTEM
  ibrav = 0, nat = 16, ntyp = 2
/
ATOMIC_SPECIES
Cr 52.00 Cr.upf
W 183.84 W.upf
ATOMIC_POSITIONS crystal
Cr 0.000 0.502 0.502
W 0.745 0.250 0.250
Cr 0.500 0.998 0.504
W 0.000 0.506 0.992
W 0.256 0.249 0.750
W 0.744 0.750 0.249
W 0.256 0.750 0.249
W 0.000 0.992 0.506
Cr 0.500 0.504 0.998
Cr 0.256 0.751 0.751
Cr 0.744 0.751 0.751
W 0.500 0.508 0.508
W 0.000 0.995 0.995
W 0.744 0.249 0.750
W 0.255 0.250 0.250
Cr 0.500 0.994 0.994
CELL_PARAMETERS angstrom
-2.954 -0.309 -5.323
5.320 -0.564 -2.919
-0.350 -6.060 0.546
```

***

(10)
CrW2: PBEsol geometry, meta-GGA SCAN. Values from VASP.

- Energy above the most stable polymorph in this dataset: 0.0000 eV per atom
- D(E_F): 0.456 states/eV per atom
- Calculated formation energy: 0.050 eV/atom
- E: -52.5368 eV per atom

Structure (Quantum ESPRESSO input):
```
&SYSTEM
  ibrav = 0, nat = 6, ntyp = 2
/
ATOMIC_SPECIES
Cr 52.00 Cr.upf
W 183.84 W.upf
ATOMIC_POSITIONS crystal
Cr 0.082 0.250 0.163
W 0.421 0.250 0.843
W 0.252 0.750 0.504
W 0.579 0.750 0.157
Cr 0.918 0.750 0.837
W 0.748 0.250 0.496
CELL_PARAMETERS angstrom
3.065 0.000 0.000
0.000 4.332 0.000
-1.532 0.000 6.449
```

***

(11)
CrW3: PBEsol geometry, meta-GGA SCAN. Values from VASP.

- D(E_F): 0.475 states/eV per atom
- Calculated formation energy: 0.048 eV/atom
- E: -56.8141 eV per atom

Structure (Quantum ESPRESSO input):
```
&SYSTEM
  ibrav = 0, nat = 8, ntyp = 2
/
ATOMIC_SPECIES
W 183.84 W.upf
Cr 52.00 Cr.upf
ATOMIC_POSITIONS crystal
W 0.250 0.131 0.380
W 0.750 0.874 0.126
W 0.250 0.126 0.874
W 0.250 0.620 0.869
Cr 0.750 0.376 0.624
W 0.750 0.869 0.620
Cr 0.250 0.624 0.376
W 0.750 0.380 0.131
CELL_PARAMETERS angstrom
-2.388 -3.099 1.919
2.425 -3.715 -2.982
2.721 0.717 4.544
```

***

(12)
CrW3: PBEsol geometry, meta-GGA SCAN. Values from VASP.

- D(E_F): 0.466 states/eV per atom
- Calculated formation energy: 0.069 eV/atom
- E: -56.7929 eV per atom

Structure (Quantum ESPRESSO input):
```
&SYSTEM
  ibrav = 0, nat = 4, ntyp = 2
/
ATOMIC_SPECIES
W 183.84 W.upf
Cr 52.00 Cr.upf
ATOMIC_POSITIONS crystal
W 0.500 0.500 0.237
W 0.000 0.000 0.500
Cr 0.000 0.000 0.000
W 0.500 0.500 0.763
CELL_PARAMETERS angstrom
2.690 0.001 0.000
-0.907 2.532 0.000
0.000 0.000 8.624
```